--- one ---
The following is a DFT calculation (PBE) of a geometry-optimized CsHf3Cu structure.

Unit cell a=5.2166 b=5.2166 c=5.2166 alpha=90.00 beta=90.00 gamma=90.00
Element x y z (fractional)
1 Cs 0.0000 0.0000 0.0000
2 Hf 0.0000 0.5000 0.0000
3 Hf 0.0000 0.0000 0.5000
4 Hf 0.5000 0.0000 0.0000
5 Cu 0.5000 0.5000 0.5000

Output
Symmetry = Pm-3m (221)
DOS(E_F) = 6.04 states/eV/f.u.

=====

--- two ---
The following is a DFT calculation (PBE) of a geometry-optimized CsHf3Cu structure.

Unit cell a=5.0946 b=5.0946 c=5.0946 alpha=90.00 beta=90.00 gamma=90.00
Element x y z (fractional)
1 Cs 0.5000 0.5000 0.5000
2 Hf 0.0000 0.5000 0.0000
3 Hf 0.0000 0.0000 0.5000
4 Hf 0.5000 0.0000 0.0000
5 Cu 0.0000 0.0000 0.0000

Output
Symmetry = Pm-3m (221)
DOS(E_F) = 4.68 states/eV/f.u.

=====

The structure with the least stability is one.

=====

--- one ---
The following is a DFT calculation (PBE) of a geometry-optimized CsHfCu3 structure.

Unit cell a=5.0593 b=5.0593 c=5.0593 alpha=90.00 beta=90.00 gamma=90.00
Site moments in Bohr magnetons follow the coordinates.
Element x y z (fractional)
1 Cs 0.0000 0.0000 0.0000  0.05
2 Hf 0.5000 0.5000 0.5000  0.66
3 Cu 0.0000 0.5000 0.0000  0.03
4 Cu 0.0000 0.0000 0.5000  0.01
5 Cu 0.5000 0.0000 0.0000  0.05

Output
Symmetry = Pm-3m (221)
DOS(E_F) = 6.78 states/eV/f.u.

=====

--- two ---
The following is a DFT calculation (PBE) of a geometry-optimized CsHfCu3 structure.

Unit cell a=5.2419 b=5.2419 c=5.2419 alpha=90.00 beta=90.00 gamma=90.00
Element x y z (fractional)
1 Cs 0.5000 0.5000 0.5000
2 Hf 0.0000 0.0000 0.0000
3 Cu 0.0000 0.5000 0.0000
4 Cu 0.0000 0.0000 0.5000
5 Cu 0.5000 0.0000 0.0000

Output
Symmetry = Pm-3m (221)
DOS(E_F) = 4.61 states/eV/f.u.

=====

The structure with the least stability is one.

=====

--- one ---
The following is a DFT calculation (PBE) of a geometry-optimized Cs2HfCu structure.

Unit cell a=6.2647 b=6.2647 c=6.2647 alpha=60.00 beta=60.00 gamma=60.00
Site moments in Bohr magnetons follow the coordinates.
Element x y z (fractional)
1 Cs 0.2500 0.2500 0.2500  0.04
2 Cs 0.7500 0.7500 0.7500  0.04
3 Hf 0.5000 0.5000 0.5000  1.43
4 Cu 0.0000 0.0000 0.0000  0.00

Output
Symmetry = Fm-3m (225)
DOS(E_F) = 13.74 states/eV/f.u.

=====

--- two ---
The following is a DFT calculation (PBE) of a geometry-optimized Cs2HfCu structure.

Unit cell a=10.0733 b=10.0733 c=10.0733 alpha=93.50 beta=93.50 gamma=151.39
Element x y z (fractional)
1 Cs 0.6250 0.2988 0.1738
2 Cs 0.1250 0.4512 0.8262
3 Cs 0.7012 0.8750 0.3262
4 Cs 0.5488 0.3750 0.6738
5 Hf 0.0000 0.0000 0.0000
6 Hf 0.2500 0.7500 0.5000
7 Cu 0.5000 0.5000 0.0000
8 Cu 0.7500 0.2500 0.5000

Output
Symmetry = I-42d (122)
DOS(E_F) = 4.35 states/eV/f.u.

=====

The structure with the least stability is one.